DFT (PBE) results for crystalline NiBiOs2 at its relaxed geometry. Values from VASP.

Results
- DFT formation energy: 0.81 eV per atom
- Crystal system: tetragonal
- Raw total energy: -7.2234 eV per atom

```
&SYSTEM
  ibrav = 0, nat = 8, ntyp = 3
/
ATOMIC_SPECIES
Ni 58.69 Ni.upf
Os 190.23 Os.upf
Bi 208.98 Bi.upf
CELL_PARAMETERS angstrom
-0.175 3.362 2.176
-2.432 -1.820 2.616
5.986 -1.991 7.250
ATOMIC_POSITIONS crystal
Ni 0.500 0.500 0.000
Ni 0.250 0.750 0.500
Os 0.538 0.125 0.250
Os 0.212 0.625 0.250
Os 0.375 0.462 0.750
Os 0.875 0.788 0.750
Bi 0.000 0.000 0.000
Bi 0.750 0.250 0.500
```